No. 1
This record from Alexandria via LeMat-Bulk describes crystalline La2SbPd at its relaxed geometry. The functional is GGA-PBE.

Unit cell a=4.7098 b=4.3051 c=12.3405 alpha=100.05 beta=90.00 gamma=90.00
Positions (direct):
La  0.2500  0.3214  0.6428
La  0.2500  0.0576  0.1152
La  0.7500  0.9424  0.8848
La  0.7500  0.6786  0.3572
Sb  0.7500  0.8124  0.6248
Sb  0.2500  0.1876  0.3752
Pd  0.2500  0.4628  0.9256
Pd  0.7500  0.5372  0.0744

---

No. 2
This record from Alexandria via LeMat-Bulk describes crystalline LaSb2Pd6 at its relaxed geometry. The functional is GGA-PBE.

Values from the calculation:
energy relative to the lowest polymorph listed for this composition: 0.021 eV per atom

Unit cell a=5.6789 b=5.6789 c=7.0185 alpha=90.00 beta=90.00 gamma=120.00
Positions (direct):
La  0.0000  0.0000  0.0000
Pd  0.5005  0.5005  0.8033
Pd  0.4995  0.4995  0.1967
Pd  0.0000  0.4995  0.8033
Pd  0.4995  0.0000  0.8033
Pd  0.5005  0.0000  0.1967
Pd  0.0000  0.5005  0.1967
Sb  0.6667  0.3333  0.5000
Sb  0.3333  0.6667  0.5000

---

No. 3
This record from Alexandria via LeMat-Bulk describes crystalline La2Sb5Pd3 at its relaxed geometry. The functional is GGA-PBE.

Unit cell a=6.6881 b=9.8318 c=9.8318 alpha=59.87 beta=70.12 gamma=70.12
Positions (direct):
Pd  0.3866  0.4967  0.7300
Pd  0.2500  0.0000  0.0000
Pd  0.1134  0.2700  0.5033
Pd  0.8866  0.7300  0.4967
Pd  0.7500  0.0000  0.0000
Pd  0.6134  0.5033  0.2700
Sb  0.0199  0.7301  0.7301
Sb  0.8904  0.9933  0.2259
Sb  0.6096  0.7741  0.0067
Sb  0.3904  0.2259  0.9933
Sb  0.4801  0.2699  0.2699
Sb  0.1096  0.0067  0.7741
Sb  0.9801  0.2699  0.2699
Sb  0.5199  0.7301  0.7301
Sb  0.7500  0.5000  0.5000
Sb  0.2500  0.5000  0.5000
La  0.3890  0.8667  0.3554
La  0.6110  0.1333  0.6446
La  0.8890  0.3554  0.8667
La  0.1110  0.6446  0.1333

---

No. 4
This record from Alexandria via LeMat-Bulk describes crystalline LaSbPd2 at its relaxed geometry. The functional is GGA-PBE.

Unit cell a=4.7401 b=7.3960 c=6.0549 alpha=90.00 beta=112.95 gamma=90.00
Positions (direct):
Pd  0.7945  0.0615  0.5894
Pd  0.2055  0.9385  0.4106
Pd  0.7945  0.4385  0.5894
Pd  0.2055  0.5615  0.4106
Sb  0.3679  0.2500  0.7363
Sb  0.6321  0.7500  0.2637
La  0.9333  0.7500  0.8647
La  0.0667  0.2500  0.1353

---

No. 5
This record from Alexandria via LeMat-Bulk describes crystalline La2SbPd at its relaxed geometry. The functional is GGA-PBE.

Unit cell a=3.8755 b=3.8755 c=7.4251 alpha=90.00 beta=90.00 gamma=90.00
Positions (direct):
La  0.0000  0.0000  0.2399
La  0.0000  0.0000  0.7601
Pd  0.5000  0.5000  0.0000
Sb  0.5000  0.5000  0.5000

---

No. 6
This record from Alexandria via LeMat-Bulk describes crystalline La2Sb2Pd at its relaxed geometry. The functional is GGA-PBE.

Values from the calculation:
energy relative to the lowest polymorph listed for this composition: 0.298 eV per atom

Unit cell a=8.3438 b=8.3438 c=4.3561 alpha=90.00 beta=90.00 gamma=90.00
Positions (direct):
La  0.8531  0.6469  0.0000
La  0.6469  0.1469  0.0000
La  0.3531  0.8531  0.0000
La  0.1469  0.3531  0.0000
Sb  0.1639  0.6639  0.5000
Sb  0.3361  0.1639  0.5000
Sb  0.8361  0.3361  0.5000
Sb  0.6639  0.8361  0.5000
Pd  0.0000  0.0000  0.0000
Pd  0.5000  0.5000  0.0000

---

No. 7
This record from Alexandria via LeMat-Bulk describes crystalline La3Sb4Pd3 at its relaxed geometry. The functional is GGA-PBE.

Unit cell a=8.7111 b=8.7111 c=8.7111 alpha=109.47 beta=109.47 gamma=109.47
Positions (direct):
Sb  0.6625  0.1625  0.1625
Sb  0.5000  0.3375  0.5000
Sb  0.8375  0.5000  0.0000
Sb  0.1625  0.6625  0.6625
Sb  0.3375  0.5000  0.0000
Sb  0.0000  0.0000  0.3375
Sb  0.0000  0.0000  0.8375
Sb  0.5000  0.8375  0.5000
La  0.1250  0.3750  0.2500
La  0.2500  0.8750  0.1250
La  0.3750  0.1250  0.7500
La  0.7500  0.6250  0.3750
La  0.6250  0.7500  0.8750
La  0.8750  0.2500  0.6250
Pd  0.3750  0.2500  0.1250
Pd  0.1250  0.7500  0.3750
Pd  0.2500  0.3750  0.6250
Pd  0.7500  0.1250  0.8750
Pd  0.8750  0.6250  0.7500
Pd  0.6250  0.8750  0.2500

---

No. 8
This record from Alexandria via LeMat-Bulk describes crystalline LaSb2Pd at its relaxed geometry. The functional is GGA-PBE.

Unit cell a=5.1016 b=5.1016 c=9.8679 alpha=75.02 beta=75.02 gamma=90.00
Positions (direct):
La  0.0000  0.0000  0.0000
La  0.7500  0.2500  0.5000
Sb  0.3750  0.4801  0.7500
Sb  0.2301  0.6250  0.2500
Sb  0.8750  0.7699  0.7500
Sb  0.5199  0.1250  0.2500
Pd  0.5000  0.5000  0.0000
Pd  0.2500  0.7500  0.5000

---

No. 9
This record from Alexandria via LeMat-Bulk describes crystalline LaSb2Pd4 at its relaxed geometry. The functional is GGA-PBE.

Values from the calculation:
energy relative to the lowest polymorph listed for this composition: 0.038 eV per atom

Unit cell a=4.6274 b=7.1906 c=17.5702 alpha=90.00 beta=90.00 gamma=90.00
Positions (direct):
Pd  0.2500  0.4569  0.4371
Pd  0.7500  0.3447  0.3149
Pd  0.7500  0.1553  0.8149
Pd  0.2500  0.3818  0.0290
Pd  0.2500  0.8447  0.1851
Pd  0.2500  0.6553  0.6851
Pd  0.7500  0.7452  0.7953
Pd  0.7500  0.6182  0.9710
Pd  0.2500  0.0431  0.9371
Pd  0.2500  0.2548  0.2047
Pd  0.7500  0.8818  0.4710
Pd  0.7500  0.9569  0.0629
Pd  0.2500  0.1182  0.5290
Pd  0.7500  0.7548  0.2953
Pd  0.2500  0.2452  0.7047
Pd  0.7500  0.5431  0.5629
Sb  0.2500  0.7572  0.0345
Sb  0.2500  0.7428  0.5345
Sb  0.2500  0.5569  0.2908
Sb  0.7500  0.2428  0.9655
Sb  0.7500  0.4431  0.7092
Sb  0.7500  0.2572  0.4655
Sb  0.7500  0.0569  0.2092
Sb  0.2500  0.9431  0.7908
La  0.2500  0.0224  0.3574
La  0.7500  0.5224  0.1426
La  0.7500  0.9776  0.6426
La  0.2500  0.4776  0.8574

---

No. 10
This record from Alexandria via LeMat-Bulk describes crystalline La2SbPd3 at its relaxed geometry. The functional is GGA-PBE.

Values from the calculation:
energy relative to the lowest polymorph listed for this composition: 0.000 eV per atom

Unit cell a=4.6095 b=4.6095 c=15.8889 alpha=90.00 beta=90.00 gamma=120.00
Positions (direct):
La  0.0000  0.0000  0.8814
La  0.0000  0.0000  0.6186
La  0.0000  0.0000  0.1186
La  0.0000  0.0000  0.3814
Pd  0.6667  0.3333  0.5003
Pd  0.3333  0.6667  0.4997
Pd  0.6667  0.3333  0.2500
Pd  0.3333  0.6667  0.0003
Pd  0.3333  0.6667  0.7500
Pd  0.6667  0.3333  0.9997
Sb  0.6667  0.3333  0.7500
Sb  0.3333  0.6667  0.2500

---

No. 11
This record from Alexandria via LeMat-Bulk describes crystalline La2SbPd3 at its relaxed geometry. The functional is GGA-PBE.

Values from the calculation:
energy relative to the lowest polymorph listed for this composition: 0.048 eV per atom

Unit cell a=5.9772 b=5.9772 c=9.3960 alpha=110.73 beta=110.73 gamma=83.52
Positions (direct):
La  0.7573  0.2427  0.0000
La  0.2500  0.7500  0.5000
La  0.2427  0.7573  0.0000
La  0.7500  0.2500  0.5000
Pd  0.8378  0.8378  0.1626
Pd  0.8220  0.8220  0.6439
Pd  0.6751  0.6751  0.8374
Pd  0.1622  0.1622  0.8374
Pd  0.3249  0.3249  0.1626
Pd  0.1780  0.1780  0.3561
Sb  0.6613  0.6613  0.3225
Sb  0.3387  0.3387  0.6775

---

No. 12
This record from Alexandria via LeMat-Bulk describes crystalline LaSbPd at its relaxed geometry. The functional is GGA-PBE.

Unit cell a=4.2475 b=4.2475 c=5.4042 alpha=113.14 beta=113.14 gamma=90.00
Positions (direct):
Pd  0.2647  0.2647  0.5293
La  0.6206  0.6206  0.2411
Sb  0.9648  0.9648  0.9296

---

No. 13
This record from Alexandria via LeMat-Bulk describes crystalline LaSb3Pd at its relaxed geometry. The functional is GGA-PBE.

Unit cell a=6.2691 b=6.3216 c=13.1982 alpha=90.00 beta=90.00 gamma=90.00
Positions (direct):
Pd  0.5000  0.2500  0.0952
Pd  0.5000  0.7500  0.9048
Pd  0.0000  0.7500  0.9048
Pd  0.0000  0.2500  0.0952
Sb  0.7500  0.5083  0.2244
Sb  0.7500  0.0083  0.7756
Sb  0.5000  0.2500  0.4984
Sb  0.2500  0.1165  0.9390
Sb  0.0000  0.7500  0.5016
Sb  0.0000  0.2500  0.4984
Sb  0.2500  0.6165  0.0610
Sb  0.5000  0.7500  0.5016
Sb  0.7500  0.3835  0.9390
Sb  0.2500  0.9917  0.2244
Sb  0.2500  0.4917  0.7756
Sb  0.7500  0.8835  0.0610
La  0.2500  0.4983  0.3079
La  0.7500  0.0017  0.3079
La  0.2500  0.9983  0.6921
La  0.7500  0.5017  0.6921

---

No. 14
This record from Alexandria via LeMat-Bulk describes crystalline La3Sb4Pd7 at its relaxed geometry. The functional is GGA-PBE.

Unit cell a=4.5084 b=8.7298 c=8.6116 alpha=71.26 beta=74.83 gamma=75.04
Positions (direct):
Pd  0.5005  0.7858  0.2131
Pd  0.8666  0.3653  0.9016
Pd  0.4995  0.2142  0.7869
Pd  0.6869  0.1733  0.4528
Pd  0.0000  0.0000  0.0000
Pd  0.1334  0.6347  0.0984
Pd  0.3131  0.8267  0.5472
La  0.0000  0.5000  0.5000
La  0.6746  0.8150  0.8357
La  0.3254  0.1850  0.1643
Sb  0.6687  0.4579  0.2047
Sb  0.3313  0.5421  0.7953
Sb  0.8826  0.8939  0.3409
Sb  0.1174  0.1061  0.6591

---

No. 15
This record from Alexandria via LeMat-Bulk describes crystalline LaSb2Pd5 at its relaxed geometry. The functional is GGA-PBE.

Unit cell a=4.2001 b=6.8165 c=6.8165 alpha=63.77 beta=72.06 gamma=72.06
Positions (direct):
Pd  0.0000  0.5000  0.5000
Pd  0.6305  0.5644  0.1746
Pd  0.3695  0.4356  0.8254
Pd  0.6305  0.1746  0.5644
Pd  0.3695  0.8254  0.4356
Sb  0.7579  0.7421  0.7421
Sb  0.2421  0.2579  0.2579
La  0.0000  0.0000  0.0000

---

No. 16
This record from Alexandria via LeMat-Bulk describes crystalline LaSbPd2 at its relaxed geometry. The functional is GGA-PBE.

Unit cell a=4.8642 b=4.8642 c=9.4196 alpha=75.04 beta=75.04 gamma=90.00
Positions (direct):
La  0.0000  0.0000  0.0000
La  0.7500  0.2500  0.5000
Sb  0.2500  0.7500  0.5000
Sb  0.5000  0.5000  0.0000
Pd  0.8750  0.7825  0.7500
Pd  0.5325  0.1250  0.2500
Pd  0.3750  0.4675  0.7500
Pd  0.2175  0.6250  0.2500

---

No. 17
This record from Alexandria via LeMat-Bulk describes crystalline LaSbPd2 at its relaxed geometry. The functional is GGA-PBE.

Unit cell a=6.1624 b=6.1624 c=6.1624 alpha=61.38 beta=137.76 gamma=137.61
Positions (direct):
Sb  0.0000  0.0000  0.0000
Pd  0.0000  0.7501  0.7501
Pd  0.0000  0.2499  0.2499
La  0.0000  0.5000  0.5000

---

No. 18
This record from Alexandria via LeMat-Bulk describes crystalline LaSb3Pd at its relaxed geometry. The functional is GGA-PBE.

Unit cell a=6.4138 b=12.6562 c=13.0649 alpha=90.00 beta=90.00 gamma=90.00
Positions (direct):
Pd  0.4539  0.1339  0.1033
Pd  0.4539  0.3661  0.1033
Pd  0.9539  0.1339  0.8967
Pd  0.5461  0.8661  0.8967
Pd  0.9539  0.3661  0.8967
Pd  0.0461  0.6339  0.1033
Pd  0.5461  0.6339  0.8967
Pd  0.0461  0.8661  0.1033
Sb  0.9875  0.1227  0.5031
Sb  0.7367  0.2500  0.2251
Sb  0.5125  0.6227  0.5031
Sb  0.2500  0.0000  0.2361
Sb  0.4875  0.1227  0.4969
Sb  0.0125  0.6227  0.4969
Sb  0.7500  0.5000  0.0253
Sb  0.2500  0.5000  0.2361
Sb  0.9875  0.3773  0.5031
Sb  0.0819  0.2500  0.0622
Sb  0.9181  0.7500  0.9378
Sb  0.7500  0.0000  0.7639
Sb  0.5819  0.2500  0.9378
Sb  0.0125  0.8773  0.4969
Sb  0.4875  0.3773  0.4969
Sb  0.2367  0.2500  0.7749
Sb  0.2633  0.7500  0.7749
Sb  0.7633  0.7500  0.2251
Sb  0.2500  0.0000  0.9747
Sb  0.2500  0.5000  0.9747
Sb  0.7500  0.5000  0.7639
Sb  0.7500  0.0000  0.0253
Sb  0.4181  0.7500  0.0622
Sb  0.5125  0.8773  0.5031
La  0.2752  0.7500  0.3085
La  0.7500  0.0000  0.3022
La  0.7500  0.5000  0.3022
La  0.7248  0.2500  0.6915
La  0.2500  0.0000  0.6978
La  0.2500  0.5000  0.6978
La  0.2248  0.2500  0.3085
La  0.7752  0.7500  0.6915

---

No. 19
This record from Alexandria via LeMat-Bulk describes crystalline LaSb4Pd12 at its relaxed geometry. The functional is GGA-PBE.

Unit cell a=7.7491 b=7.7491 c=7.7491 alpha=109.47 beta=109.47 gamma=109.47
Positions (direct):
Pd  0.6499  0.8029  0.1529
Pd  0.8471  0.6499  0.4970
Pd  0.3501  0.1971  0.8471
Pd  0.5030  0.1529  0.3501
Pd  0.8029  0.1529  0.6499
Pd  0.1529  0.3501  0.5030
Pd  0.4970  0.8471  0.6499
Pd  0.1529  0.6499  0.8029
Pd  0.1971  0.8471  0.3501
Pd  0.8471  0.3501  0.1971
Pd  0.3501  0.5030  0.1529
Pd  0.6499  0.4970  0.8471
Sb  0.5000  0.0000  0.0000
Sb  0.5000  0.5000  0.5000
Sb  0.0000  0.0000  0.5000
Sb  0.0000  0.5000  0.0000
La  0.0000  0.0000  0.0000

---

The records above give, respectively, D(E_F) values of 0.87, 0.50, 0.62, 0.17, 0.64, 0.97, 0.91, 0.54, 0.50, 0.46, 0.40, 0.40, 0.43, 0.65, 0.58, 0.40, 0.65, 0.46, 0.21 states/eV per atom.
The records above give, respectively, raw formation energy values of -3.76, -4.31, -6.92, -3.03, -3.46, -2.95, -10.29, -2.13, -4.94, -5.55, -5.26, -2.04, -3.58, -12.65, -4.98, -2.52, -0.97, -3.72, -3.24 eV/f.u..
The records above give, respectively, energy values of -45.86, -48.64, -105.92, -44.93, -22.63, -52.48, -114.28, -40.98, -155.53, -70.21, -69.63, -16.28, -104.26, -80.27, -44.12, -43.92, -20.40, -209.63, -86.97 eV/cell.